# Ac3SmC8 PBE relaxed
# Total DFT energy (no corrections) (eV for the cell shown): -354.614
# ΔH_f (0 K) (kJ/mol of formula units): 211
data_Ac3SmC8
_symmetry_space_group_name_H-M 'F m m 2'
_symmetry_Int_Tables_number 42
_symmetry_space_group_name_Hall 'F 2 -2'
_cell_length_a 10.830
_cell_length_b 10.842
_cell_length_c 8.090
_cell_angle_alpha 90.00
_cell_angle_beta 90.00
_cell_angle_gamma 90.00
loop_
_atom_site_label
_atom_site_fract_x
_atom_site_fract_y
_atom_site_fract_z
Ac1 0.000 0.000 0.000
Ac2 0.250 0.250 0.251
Sm1 0.000 0.000 0.500
C1 0.000 0.160 0.710
C2 0.000 0.239 0.126
C3 0.160 0.000 0.289
C4 0.239 0.000 0.873